# La2CrW | Alexandria | PBE | relaxed
data_La2CrW
_chemical_formula_sum 'La8 Cr4 W4'
_cell_length_a 7.143
_cell_length_b 7.143
_cell_length_c 7.143
_cell_angle_alpha 90.00
_cell_angle_beta 90.00
_cell_angle_gamma 90.00
_symmetry_space_group_name_H-M 'F -4 3 m'
_symmetry_Int_Tables_number 216
_symmetry_space_group_name_Hall 'F -4 2 3'
loop_
_atom_site_label
_atom_site_type_symbol
_atom_site_fract_x
_atom_site_fract_y
_atom_site_fract_z
_atom_site_occupancy
La1 La 0.000 0.000 0.000 1
La2 La 0.250 0.250 0.250 1
Cr1 Cr 0.250 0.250 0.750 1
W1 W 0.000 0.000 0.500 1
# magnetic moment	2.5	μB/f.u.
# formation enthalpy at 0 K	73	kJ per mole of atoms
# E_tot	-7.351	eV per atom
# crystal system	cubic


# Ca2MgSe | Alexandria | PBE | relaxed
data_Ca2MgSe
_chemical_formula_sum 'Ca4 Mg2 Se2'
_cell_length_a 4.807
_cell_length_b 4.807
_cell_length_c 9.476
_cell_angle_alpha 90.00
_cell_angle_beta 90.00
_cell_angle_gamma 90.00
_symmetry_space_group_name_H-M 'I 4/m m m'
_symmetry_Int_Tables_number 139
_symmetry_space_group_name_Hall '-I 4 2'
loop_
_atom_site_label
_atom_site_type_symbol
_atom_site_fract_x
_atom_site_fract_y
_atom_site_fract_z
_atom_site_occupancy
Ca1 Ca 0.000 0.500 0.250 1
Mg1 Mg 0.000 0.000 0.000 1
Se1 Se 0.000 0.000 0.500 1
# magnetic moment	0.0	μB/f.u.
# E_tot	-2.863	eV per atom
# uncorrected formation energy	-2.37	eV per formula unit
# crystal system	tetragonal


# TaSb2W | Alexandria | PBE | relaxed
data_TaSb2W
_chemical_formula_sum 'Ta4 Sb8 W4'
_cell_length_a 6.840
_cell_length_b 6.840
_cell_length_c 6.840
_cell_angle_alpha 90.00
_cell_angle_beta 90.00
_cell_angle_gamma 90.00
_symmetry_space_group_name_H-M 'F -4 3 m'
_symmetry_Int_Tables_number 216
_symmetry_space_group_name_Hall 'F -4 2 3'
loop_
_atom_site_label
_atom_site_type_symbol
_atom_site_fract_x
_atom_site_fract_y
_atom_site_fract_z
_atom_site_occupancy
Ta1 Ta 0.000 0.000 0.000 1
Sb1 Sb 0.000 0.000 0.500 1
Sb2 Sb 0.250 0.250 0.750 1
W1 W 0.250 0.250 0.250 1
# magnetic moment	0.0	μB/f.u.
# E_tot	-7.627	eV per atom
# uncorrected formation energy	2.54	eV per formula unit
# crystal system	cubic


Which formula does entry 1 have?
La2CrW